Material: YAg2Au
Method: DFT, PBE
State: relaxed

## Properties
Electronic total energy = -16.8 eV/f.u.

a b c (Å): 4.878 4.878 4.878
angles (deg): 60.00 60.00 60.00
Sites, in units of the cell vectors:
Y 0.000 0.000 0.000
Au 0.500 0.500 0.500
Ag 0.250 0.250 0.250
Ag 0.750 0.750 0.750



Material: NiGeSb2Te
Method: DFT, PBE
State: relaxed

## Properties
Formation energy without anion corrections = 1.067 eV per atom

a b c (Å): 5.295 5.295 5.310
angles (deg): 90.00 90.00 90.00
Site moments in Bohr magnetons follow the coordinates.
Sites, in units of the cell vectors:
Sb 0.000 0.500 0.000  -0.03
Sb 0.500 0.000 0.000  -0.03
Ge 0.000 0.000 0.000  0.00
Te 0.000 0.000 0.500  0.01
Ni 0.500 0.500 0.500  0.68



Material: KSr2Ag
Method: DFT, PBE
State: relaxed

## Properties
Electronic total energy = -7.0 eV/f.u.

a b c (Å): 10.155 10.155 8.144
angles (deg): 51.43 51.43 90.00
Sites, in units of the cell vectors:
Sr 0.715 0.125 0.250
Sr 0.035 0.625 0.250
Sr 0.375 0.285 0.750
Sr 0.875 0.965 0.750
K 0.500 0.500 0.000
K 0.250 0.750 0.500
Ag 0.000 0.000 0.000
Ag 0.750 0.250 0.500



Material: Nd6In2Pt
Method: DFT, PBE
State: relaxed

## Properties
Electronic total energy = -44.5 eV/f.u.

a b c (Å): 3.921 8.968 8.966
angles (deg): 120.01 90.00 90.00
Sites, in units of the cell vectors:
Nd 0.500 0.602 0.000
Nd 0.500 0.398 0.398
Nd 0.500 0.000 0.602
Nd 0.000 0.247 0.000
Nd 0.000 0.753 0.753
Nd 0.000 0.000 0.247
In 0.000 0.333 0.667
In 0.000 0.667 0.333
Pt 0.500 0.000 0.000